# 1
Ni10Pb | PBE | optimized geometry

Properties
* electronic total energy: -5.33 eV/atom

Unit cell a=7.787 b=3.498 c=27.556 alpha=90.00 beta=90.34 gamma=90.00
Space group C2/m (No. 12)
Unique sites:
1 Ni 0.049 0.000 0.258 (multiplicity 4)
2 Ni 0.050 0.000 0.543 (multiplicity 4)
3 Ni 0.050 0.500 0.401 (multiplicity 4)
4 Ni 0.050 0.500 0.685 (multiplicity 4)
5 Ni 0.147 0.500 0.769 (multiplicity 4)
6 Ni 0.150 0.000 0.343 (multiplicity 4)
7 Ni 0.150 0.000 0.628 (multiplicity 4)
8 Ni 0.150 0.500 0.486 (multiplicity 4)
9 Ni 0.250 0.000 0.429 (multiplicity 4)
10 Ni 0.250 0.000 0.714 (multiplicity 4)
11 Pb 0.152 0.500 0.181 (multiplicity 4)


# 2
Ni15Pb | PBE | optimized geometry

Properties
* E above lowest polymorph: 24 meV/atom

Unit cell a=4.283 b=33.496 c=4.283 alpha=90.00 beta=108.80 gamma=90.00
Space group P2 (No. 3)
Unique sites:
1 Ni 0.000 0.000 0.000 (multiplicity 1)
2 Ni 0.000 0.034 0.500 (multiplicity 1)
3 Ni 0.000 0.071 0.000 (multiplicity 1)
4 Ni 0.000 0.109 0.500 (multiplicity 1)
5 Ni 0.000 0.145 0.000 (multiplicity 1)
6 Ni 0.000 0.182 0.500 (multiplicity 1)
7 Ni 0.000 0.218 0.000 (multiplicity 1)
8 Ni 0.000 0.255 0.500 (multiplicity 1)
9 Ni 0.000 0.292 0.000 (multiplicity 1)
10 Ni 0.000 0.329 0.500 (multiplicity 1)
11 Ni 0.000 0.365 0.000 (multiplicity 1)
12 Ni 0.000 0.402 0.500 (multiplicity 1)
13 Ni 0.000 0.439 0.000 (multiplicity 1)
14 Ni 0.000 0.475 0.500 (multiplicity 1)
15 Ni 0.000 0.512 0.000 (multiplicity 1)
16 Ni 0.000 0.547 0.500 (multiplicity 1)
17 Ni 0.500 0.034 0.000 (multiplicity 1)
18 Ni 0.500 0.071 0.500 (multiplicity 1)
19 Ni 0.500 0.109 0.000 (multiplicity 1)
20 Ni 0.500 0.145 0.500 (multiplicity 1)
21 Ni 0.500 0.182 0.000 (multiplicity 1)
22 Ni 0.500 0.218 0.500 (multiplicity 1)
23 Ni 0.500 0.255 0.000 (multiplicity 1)
24 Ni 0.500 0.292 0.500 (multiplicity 1)
25 Ni 0.500 0.328 0.000 (multiplicity 1)
26 Ni 0.500 0.365 0.500 (multiplicity 1)
27 Ni 0.500 0.402 0.000 (multiplicity 1)
28 Ni 0.500 0.439 0.500 (multiplicity 1)
29 Ni 0.500 0.475 0.000 (multiplicity 1)
30 Ni 0.500 0.512 0.500 (multiplicity 1)
31 Pb 0.500 0.569 0.000 (multiplicity 1)
32 Pb 0.500 0.978 0.500 (multiplicity 1)